[1]
DFT (PBE-GGA) results for a relaxed structure of AcCd10Cu2.

Computed properties:
ΔH_f (0 K)   -0.11 eV/atom
SG   Fmmm (69)
Size of the total moment   0.000 Bohr magnetons per cell

Cell and atoms, written as extended XYZ:
```
13
Lattice="0.000 7.169 7.170 2.772 0.000 7.170 2.772 7.169 0.000" Properties=species:S:1:pos:R:3 pbc="T T T"
Ac 0.000 0.000 0.000
Cd 1.386 3.585 0.000
Cd 2.772 4.776 2.620
Cd 2.772 5.689 5.513
Cd 2.772 9.563 2.620
Cd 2.772 8.649 5.513
Cd 1.386 3.585 7.170
Cd 2.772 5.689 8.827
Cd 2.772 4.776 11.721
Cd 2.772 8.649 8.827
Cd 2.772 9.563 11.721
Cu 1.386 0.000 3.585
Cu 1.386 7.169 3.585
```

---

[2]
DFT (PBE-GGA) results for a relaxed structure of AcCd4Cu.

Computed properties:
ΔH_f (0 K)   -0.19 eV/atom
SG   Pmma (51)
Size of the total moment   0.000 Bohr magnetons per cell

Cell and atoms, written as extended XYZ:
```
12
Lattice="8.474 0.000 0.000 0.000 4.419 0.000 0.000 0.000 7.759" Properties=species:S:1:pos:R:3 pbc="T T T"
Ac 2.119 0.000 0.831
Ac 6.356 0.000 6.928
Cd 0.000 0.000 3.880
Cd 0.532 2.210 6.229
Cd 2.119 2.210 3.475
Cd 3.705 2.210 6.229
Cd 4.237 0.000 3.880
Cd 4.770 2.210 1.530
Cd 6.356 2.210 4.285
Cd 7.942 2.210 1.530
Cu 2.119 0.000 5.476
Cu 6.356 0.000 2.283
```

---

[3]
DFT (PBE-GGA) results for a relaxed structure of AcCdCu.

Computed properties:
ΔH_f (0 K)   -0.12 eV/atom
SG   F-43m (216)
Size of the total moment   0.000 Bohr magnetons per cell
Energy above the most stable polymorph in this dataset   0.1175 eV per atom

Cell and atoms, written as extended XYZ:
```
12
Lattice="7.009 0.000 0.000 0.000 7.009 0.000 0.000 0.000 7.009" Properties=species:S:1:pos:R:3 pbc="T T T"
Ac 0.000 0.000 0.000
Ac 0.000 3.505 3.505
Ac 3.505 0.000 3.505
Ac 3.505 3.505 0.000
Cd 0.000 0.000 3.505
Cd 0.000 3.505 0.000
Cd 3.505 0.000 0.000
Cd 3.505 3.505 3.505
Cu 1.752 1.752 5.257
Cu 1.752 5.257 1.752
Cu 5.257 1.752 1.752
Cu 5.257 5.257 5.257
```

---

[4]
DFT (PBE-GGA) results for a relaxed structure of Ac6Cd5Cu.

Computed properties:
ΔH_f (0 K)   -0.25 eV/atom
SG   P2/m (10)
Size of the total moment   0.000 Bohr magnetons per cell

Cell and atoms, written as extended XYZ:
```
12
Lattice="5.700 0.000 0.000 0.000 8.108 0.000 -2.853 0.000 8.560" Properties=species:S:1:pos:R:3 pbc="T T T"
Ac 0.000 1.939 0.000
Ac 0.000 6.169 0.000
Ac 0.004 1.986 5.807
Ac 0.004 6.122 5.807
Ac 2.844 1.986 2.753
Ac 2.844 6.122 2.753
Cd -0.008 4.054 2.907
Cd -0.008 0.000 2.957
Cd 2.850 4.054 0.000
Cd 2.856 0.000 5.604
Cd 2.856 4.054 5.653
Cu 2.850 0.000 0.000
```

---

[5]
DFT (PBE-GGA) results for a relaxed structure of AcCd3Cu.

Computed properties:
ΔH_f (0 K)   -0.19 eV/atom
SG   Pnma (62)
Size of the total moment   0.000 Bohr magnetons per cell
Energy above the most stable polymorph in this dataset   0.0000 eV per atom

Cell and atoms, written as extended XYZ:
```
20
Lattice="9.386 0.000 0.000 0.000 4.447 0.000 0.000 0.000 11.843" Properties=species:S:1:pos:R:3 pbc="T T T"
Ac 1.724 1.112 0.132
Ac 2.969 3.335 6.054
Ac 6.417 1.112 5.790
Ac 7.662 3.335 11.711
Cd 0.525 1.112 4.900
Cd 1.032 3.335 2.731
Cd 1.273 3.335 9.367
Cd 3.419 1.112 3.445
Cd 3.661 1.112 8.653
Cd 4.168 3.335 10.822
Cd 5.218 1.112 1.021
Cd 5.725 3.335 3.190
Cd 5.966 3.335 8.398
Cd 8.112 1.112 2.476
Cd 8.354 1.112 9.112
Cd 8.861 3.335 6.943
Cu 1.176 1.112 7.564
Cu 3.516 3.335 1.643
Cu 5.869 1.112 10.201
Cu 8.209 3.335 4.279
```

---

[6]
DFT (PBE-GGA) results for a relaxed structure of AcCd11Cu.

Computed properties:
ΔH_f (0 K)   -0.12 eV/atom
SG   C2/m (12)
Size of the total moment   0.000 Bohr magnetons per cell

Cell and atoms, written as extended XYZ:
```
13
Lattice="2.938 -7.119 0.000 2.938 7.119 0.000 -2.812 0.000 7.127" Properties=species:S:1:pos:R:3 pbc="T T T"
Ac 0.000 0.000 0.000
Cd -1.406 0.000 3.564
Cd 1.469 3.559 0.000
Cd 0.113 2.467 2.567
Cd 0.178 1.512 5.527
Cd 0.113 -2.467 2.567
Cd 2.887 1.512 1.600
Cd 1.469 -3.559 0.000
Cd 0.178 -1.512 5.527
Cd 2.952 2.467 4.560
Cd 2.887 -1.512 1.600
Cd 2.952 -2.467 4.560
Cu 1.532 0.000 3.564
```

---

[7]
DFT (PBE-GGA) results for a relaxed structure of Ac4Cd2Cu.

Computed properties:
ΔH_f (0 K)   0.01 eV/atom
SG   I4/mmm (139)
Size of the total moment   0.002 Bohr magnetons per cell

Cell and atoms, written as extended XYZ:
```
14
Lattice="5.676 0.000 0.000 0.000 5.676 0.000 0.000 0.000 16.789" Properties=species:S:1:pos:R:3 pbc="T T T"
Ac 0.000 0.000 3.121
Ac 0.000 0.000 13.668
Ac 0.000 2.838 0.000
Ac 0.000 2.838 8.394
Ac 2.838 0.000 0.000
Ac 2.838 0.000 8.394
Ac 2.838 2.838 5.273
Ac 2.838 2.838 11.515
Cd 0.000 0.000 6.380
Cd 0.000 0.000 10.409
Cd 2.838 2.838 2.014
Cd 2.838 2.838 14.775
Cu 0.000 0.000 0.000
Cu 2.838 2.838 8.394
```

---

[8]
DFT (PBE-GGA) results for a relaxed structure of Ac4CdCu3.

Computed properties:
ΔH_f (0 K)   -0.14 eV/atom
SG   Pmm2 (25)
Size of the total moment   0.000 Bohr magnetons per cell

Cell and atoms, written as extended XYZ:
```
8
Lattice="4.240 0.000 0.000 0.000 4.769 0.000 0.000 0.000 11.736" Properties=species:S:1:pos:R:3 pbc="T T T"
Ac 0.000 0.000 0.000
Ac 0.000 2.385 3.161
Ac 2.120 0.000 5.536
Ac 2.120 2.385 9.201
Cd 0.000 0.000 8.157
Cu 0.000 2.385 6.518
Cu 2.120 0.000 2.285
Cu 2.120 2.385 0.830
```